A plane-wave DFT calculation with GGA-PBE was carried out for CrAs2IrBr after structural relaxation.

Properties
E above lowest polymorph (eV/f.u.): 0.000
Energy relative to the elements, uncorrected (eV/atom): 0.711
Space group: P4/mmm, No. 123
Electronic total energy (eV/atom): -5.180

Cell lengths 4.7459, 4.7459, 5.4961 Å; angles 90.00, 90.00, 90.00 degrees
Positions (direct):
Cr (0.5000, 0.5000, 0.5000)
As (0.0000, 0.5000, 0.0000)
As (0.5000, 0.0000, 0.0000)
Ir (0.0000, 0.0000, 0.0000)
Br (0.0000, 0.0000, 0.5000)